The following is a PBE with a Hubbard U calculation of BaBeVF6 after structural relaxation, from Alexandria.

The structure belongs to space group C2 (No. 5); the cell edges are 5.269, 9.109 and 5.515 Å and the angles 90.00°, 90.06° and 90.00°. The asymmetric unit holds Ba at (0.000, 0.000, 0.000), Be at (0.000, 0.333, 0.500), V at (0.000, 0.667, 0.500), F at (0.125, 0.478, 0.688), F at (0.155, 0.198, 0.688) and F at (0.221, 0.823, 0.688).

As for the density of states at the Fermi level: 0.0 states/eV/f.u. The calculation puts the total energy at -5.8584 eV/atom.